[1]
The following is a PBE calculation of a relaxed structure of MgAgSe2, from Alexandria.

Geometry as CIF:
```
data_MgAgSe2
_cell_length_a 3.881
_cell_length_b 7.159
_cell_length_c 7.226
_cell_angle_alpha 90.00
_cell_angle_beta 90.00
_cell_angle_gamma 90.00
_space_group_name_H-M_alt 'I m m m'
_space_group_IT_number 71
_space_group_name_Hall '-I 2 2'
loop_
_atom_site_label
_atom_site_type_symbol
_atom_site_fract_x
_atom_site_fract_y
_atom_site_fract_z
Mg1 Mg 0.000 0.000 0.000
Ag1 Ag 0.000 0.500 0.000
Se1 Se 0.000 0.251 0.500
```

- calculated density (g/cm3) = 4.80
- total magnetic moment (μB per formula unit) = 0.00
- formation energy from raw total energies (eV/atom) = -0.315
- crystal system = orthorhombic
- Fermi-level density of states (states/eV per cell) = 4.15



[2]
The following is a PBE calculation of a relaxed structure of Sm2Ho8Zn, from Alexandria.

Geometry as CIF:
```
data_Sm2Ho8Zn
_cell_length_a 19.056
_cell_length_b 5.474
_cell_length_c 6.394
_cell_angle_alpha 90.00
_cell_angle_beta 94.15
_cell_angle_gamma 90.00
_space_group_name_H-M_alt 'C 1 2/m 1'
_space_group_IT_number 12
loop_
_space_group_symop_operation_xyz
'x,y,z'
'-x,-y,-z'
'-x,y,-z'
'x,-y,z'
'x+1/2,y+1/2,z'
'-x+1/2,-y+1/2,-z'
'-x+1/2,y+1/2,-z'
'x+1/2,-y+1/2,z'
loop_
_atom_site_label
_atom_site_type_symbol
_atom_site_fract_x
_atom_site_fract_y
_atom_site_fract_z
Sm1 Sm 0.242 0.000 0.330
Ho1 Ho 0.042 0.000 0.255
Ho2 Ho 0.077 0.500 0.610
Ho3 Ho 0.154 0.500 0.123
Ho4 Ho 0.155 0.000 0.812
Zn1 Zn 0.000 0.500 0.000
```

- calculated density (g/cm3) = 8.42
- total magnetic moment (μB per formula unit) = 0.00
- ΔH_f (0 K) (meV per atom) = -12.7
- crystal system = monoclinic
- Fermi-level density of states (states/eV per cell) = 33.51



[3]
The following is a PBE calculation of a relaxed structure of DyYGa2, from Alexandria.

Geometry as CIF:
```
data_DyYGa2
_cell_length_a 3.6626
_cell_length_b 3.6626
_cell_length_c 25.9715
_cell_angle_alpha 90.00
_cell_angle_beta 90.00
_cell_angle_gamma 120.00
_space_group_name_H-M_alt 'R -3 m'
_space_group_IT_number 166
_space_group_name_Hall '-R 3 2"'
loop_
_atom_site_label
_atom_site_type_symbol
_atom_site_fract_x
_atom_site_fract_y
_atom_site_fract_z
Dy1 Dy 0.0000 0.0000 0.0000
Y1 Y 0.0000 0.0000 0.5000
Ga1 Ga 0.0000 0.0000 0.2501
```

- calculated density (g/cm3) = 6.45
- total magnetic moment (μB per formula unit) = 0.00
- ΔH_f (0 K) (meV per atom) = -436.4
- crystal system = trigonal
- Fermi-level density of states (states/eV per cell) = 5.75



What is the Fermi-level density of states in the first record? 4.15 states/eV per cell